Below is a relaxed structure of Zn2SbAs, with properties calculated at the PBE level.

Values from the calculation:
- Magnetic moment: 0.00 μB per cell
- ΔE to the lowest computed polymorph: 1.13 eV per formula unit
- SG: F-43m (216)
- E: -2.514 eV per atom
- Theoretical density: 6644 kg/m3
- E_form (uncorrected): 0.316 eV per atom

Cell lengths 4.8736, 4.8736, 4.8736 Å; angles 60.00, 60.00, 60.00 degrees
Last column: nearest neighbours and their distance in Å.
Fractional positions:
Zn 0.0000 0.0000 0.0000  4 Sb 2.98, 4 Zn 2.98
Zn 0.2500 0.2500 0.2500  4 As 2.98, 4 Zn 2.98
Sb 0.7500 0.7500 0.7500  4 As 2.98, 4 Zn 2.98
As 0.5000 0.5000 0.5000  4 Zn 2.98, 4 Sb 2.98

Below is a relaxed structure of ZnSb2As, with properties calculated at the PBE level.

Values from the calculation:
- Magnetic moment: 0.00 μB per cell
- ΔE to the lowest computed polymorph: 0.92 eV per formula unit
- SG: F-43m (216)
- E: -3.248 eV per atom
- Theoretical density: 6895 kg/m3
- E_form (uncorrected): 0.294 eV per atom

Cell lengths 5.0754, 5.0754, 5.0754 Å; angles 60.00, 60.00, 60.00 degrees
Last column: nearest neighbours and their distance in Å.
Fractional positions:
Zn 0.0000 0.0000 0.0000  4 Sb 3.11, 4 As 3.11
Sb 0.2500 0.2500 0.2500  4 Sb 3.11, 4 Zn 3.11
Sb 0.5000 0.5000 0.5000  4 As 3.11, 4 Sb 3.11
As 0.7500 0.7500 0.7500  4 Sb 3.11, 4 Zn 3.11

> E of number 2 (ZnSb2As)?

-3.248 eV per atom

> Which value of E does entry 2 give?

-3.248 eV per atom

Copy entry 2 word for word.
Below is a relaxed structure of ZnSb2As, with properties calculated at the PBE level.

Values from the calculation:
- Magnetic moment: 0.00 μB per cell
- ΔE to the lowest computed polymorph: 0.92 eV per formula unit
- SG: F-43m (216)
- E: -3.248 eV per atom
- Theoretical density: 6895 kg/m3
- E_form (uncorrected): 0.294 eV per atom

Cell lengths 5.0754, 5.0754, 5.0754 Å; angles 60.00, 60.00, 60.00 degrees
Last column: nearest neighbours and their distance in Å.
Fractional positions:
Zn 0.0000 0.0000 0.0000  4 Sb 3.11, 4 As 3.11
Sb 0.2500 0.2500 0.2500  4 Sb 3.11, 4 Zn 3.11
Sb 0.5000 0.5000 0.5000  4 As 3.11, 4 Sb 3.11
As 0.7500 0.7500 0.7500  4 Sb 3.11, 4 Zn 3.11